A relaxed structure of RbPrCd4, computed with PBE.

```
data_RbPrCd4
_space_group_name_H-M_alt 'F -4 3 m'
_space_group_IT_number 216
_space_group_name_Hall 'F -4 2 3'
_cell_length_a 8.8058
_cell_length_b 8.8058
_cell_length_c 8.8058
_cell_angle_alpha 90.00
_cell_angle_beta 90.00
_cell_angle_gamma 90.00
loop_
_atom_site_label
_atom_site_fract_x
_atom_site_fract_y
_atom_site_fract_z
Rb1 0.0000 0.0000 0.0000
Pr1 0.2500 0.2500 0.7500
Cd1 0.1240 0.1240 0.3760
```

energy of formation: -0.0456 eV/atom
size of the total moment: 0.00 μB/cell
calculated total energy: -38.72 eV for the cell shown

---

A relaxed structure of RbPrCd17, computed with PBE.

```
data_RbPrCd17
_space_group_name_H-M_alt 'R 3 m'
_space_group_IT_number 160
_space_group_name_Hall 'R 3 -2"'
_cell_length_a 10.2879
_cell_length_b 10.2879
_cell_length_c 15.1640
_cell_angle_alpha 90.00
_cell_angle_beta 90.00
_cell_angle_gamma 120.00
loop_
_atom_site_label
_atom_site_fract_x
_atom_site_fract_y
_atom_site_fract_z
Rb1 0.0000 0.0000 0.0000
Pr1 0.0000 0.0000 0.6688
Cd1 0.0000 0.0000 0.2444
Cd2 0.0000 0.0000 0.4431
Cd3 0.0023 0.2978 0.3372
Cd4 0.0082 0.5041 0.1912
Cd5 0.0144 0.5072 0.8344
Cd6 0.0325 0.5162 0.4862
```

energy of formation: -0.0989 eV/atom
size of the total moment: 0.00 μB/cell
calculated total energy: -69.55 eV for the cell shown

---

A relaxed structure of RbPrCdS3, computed with PBE.

```
data_RbPrCdS3
_space_group_name_H-M_alt 'P 1 21/m 1'
_space_group_IT_number 11
_space_group_name_Hall '-P 2yb'
_cell_length_a 9.1136
_cell_length_b 4.2705
_cell_length_c 10.1003
_cell_angle_alpha 90.00
_cell_angle_beta 106.46
_cell_angle_gamma 90.00
loop_
_atom_site_label
_atom_site_fract_x
_atom_site_fract_y
_atom_site_fract_z
Rb1 0.2035 0.2500 0.2246
Pr1 0.3331 0.7500 0.8599
Cd1 0.0866 0.2500 0.6101
S1 0.1178 0.2500 0.8644
S2 0.2068 0.7500 0.5381
S3 0.4599 0.7500 0.1470
```

size of the total moment: 0.00 μB/cell
calculated total energy: -54.60 eV for the cell shown
raw formation energy: -1375 meV/atom

---

A relaxed structure of Rb2PrCd2S4, computed with PBE.

```
data_Rb2PrCd2S4
_space_group_name_H-M_alt 'C 1 2/m 1'
_space_group_IT_number 12
_space_group_name_Hall '-C 2y'
_cell_length_a 16.5854
_cell_length_b 4.1474
_cell_length_c 8.3163
_cell_angle_alpha 90.00
_cell_angle_beta 113.31
_cell_angle_gamma 90.00
loop_
_atom_site_label
_atom_site_fract_x
_atom_site_fract_y
_atom_site_fract_z
Rb1 0.1263 0.0000 0.0555
Pr1 0.0000 0.0000 0.5000
Cd1 0.1865 0.5000 0.5197
S1 0.0274 0.5000 0.2831
S2 0.1879 0.0000 0.7165
```

size of the total moment: 0.00 μB/cell
calculated total energy: -70.12 eV for the cell shown
raw formation energy: -1111 meV/atom

---

A relaxed structure of Rb2PrCd2Se4, computed with PBE.

```
data_Rb2PrCd2Se4
_space_group_name_H-M_alt 'C 1 2/m 1'
_space_group_IT_number 12
_space_group_name_Hall '-C 2y'
_cell_length_a 16.9851
_cell_length_b 4.3225
_cell_length_c 8.5826
_cell_angle_alpha 90.00
_cell_angle_beta 112.97
_cell_angle_gamma 90.00
loop_
_atom_site_label
_atom_site_fract_x
_atom_site_fract_y
_atom_site_fract_z
Rb1 0.1269 0.0000 0.0602
Pr1 0.0000 0.0000 0.5000
Cd1 0.1871 0.5000 0.5124
Se1 0.0252 0.5000 0.2763
Se2 0.1905 0.0000 0.7159
```

size of the total moment: 0.00 μB/cell
calculated total energy: -64.63 eV for the cell shown
raw formation energy: -1092 meV/atom

---

A relaxed structure of Pr2Cd2Rh15, computed with PBE.

```
data_Pr2Cd2Rh15
_space_group_name_H-M_alt 'R -3 m'
_space_group_IT_number 166
_space_group_name_Hall '-R 3 2"'
_cell_length_a 9.1246
_cell_length_b 9.1246
_cell_length_c 13.3192
_cell_angle_alpha 90.00
_cell_angle_beta 90.00
_cell_angle_gamma 120.00
loop_
_atom_site_label
_atom_site_fract_x
_atom_site_fract_y
_atom_site_fract_z
Pr1 0.0000 0.0000 0.1520
Cd1 0.0000 0.0000 0.3975
Rh1 0.0000 0.3027 0.5000
Rh2 0.0000 0.5000 0.0000
Rh3 0.0041 0.5021 0.6514
```

energy of formation: -0.1742 eV/atom
size of the total moment: 0.00 μB/cell
calculated total energy: -374.91 eV for the cell shown

---

A relaxed structure of Pr23Cd4Rh7, computed with PBE.

```
data_Pr23Cd4Rh7
_space_group_name_H-M_alt 'P 63 m c'
_space_group_IT_number 186
_space_group_name_Hall 'P 6c -2c'
_cell_length_a 10.0817
_cell_length_b 10.0817
_cell_length_c 22.7716
_cell_angle_alpha 90.00
_cell_angle_beta 90.00
_cell_angle_gamma 120.00
loop_
_atom_site_label
_atom_site_fract_x
_atom_site_fract_y
_atom_site_fract_z
Pr1 0.0000 0.0000 0.0483
Pr2 0.0804 0.5402 0.1388
Pr3 0.0824 0.5412 0.4094
Pr4 0.1270 0.2540 0.6888
Pr5 0.2014 0.4029 0.8359
Pr6 0.2072 0.4145 0.0000
Pr7 0.2068 0.4137 0.2739
Pr8 0.2090 0.4181 0.5431
Pr9 0.3333 0.6667 0.6980
Cd1 0.0000 0.0000 0.3020
Cd2 0.1071 0.2143 0.4160
Rh1 0.0430 0.5215 0.7640
Rh2 0.1428 0.2855 0.1159
Rh3 0.3333 0.6667 0.9163
```

energy of formation: -0.4333 eV/atom
size of the total moment: 0.00 μB/cell
calculated total energy: -359.56 eV for the cell shown

---

A relaxed structure of Pr6Cd5Rh, computed with PBE.

```
data_Pr6Cd5Rh
_space_group_name_H-M_alt 'C 1 2/m 1'
_space_group_IT_number 12
_space_group_name_Hall '-C 2y'
_cell_length_a 16.9754
_cell_length_b 7.7381
_cell_length_c 5.3937
_cell_angle_alpha 90.00
_cell_angle_beta 108.41
_cell_angle_gamma 90.00
loop_
_atom_site_label
_atom_site_fract_x
_atom_site_fract_y
_atom_site_fract_z
Pr1 0.0000 0.2274 0.0000
Pr2 0.1546 0.2328 0.6540
Cd1 0.0000 0.5000 0.5000
Cd2 0.1685 0.5000 0.1678
Cd3 0.1866 0.0000 0.1859
Rh1 0.0000 0.0000 0.5000
```

energy of formation: -0.3685 eV/atom
size of the total moment: 0.00 μB/cell
calculated total energy: -90.05 eV for the cell shown

---

A relaxed structure of PrCdRh, computed with PBE.

```
data_PrCdRh
_space_group_name_H-M_alt 'C 1 2/m 1'
_space_group_IT_number 12
_space_group_name_Hall '-C 2y'
_cell_length_a 11.5974
_cell_length_b 4.6479
_cell_length_c 5.3596
_cell_angle_alpha 90.00
_cell_angle_beta 100.26
_cell_angle_gamma 90.00
loop_
_atom_site_label
_atom_site_fract_x
_atom_site_fract_y
_atom_site_fract_z
Pr1 0.1325 0.0000 0.3067
Cd1 0.0818 0.5000 0.7734
Rh1 0.2160 0.0000 0.8355
```

energy of formation: -0.4874 eV/atom
size of the total moment: 0.00 μB/cell
calculated total energy: -58.03 eV for the cell shown

---

A relaxed structure of Pr3CdRh2, computed with PBE.

```
data_Pr3CdRh2
_space_group_name_H-M_alt 'I b a m'
_space_group_IT_number 72
_space_group_name_Hall '-I 2 2c'
_cell_length_a 6.7837
_cell_length_b 13.3885
_cell_length_c 7.3541
_cell_angle_alpha 90.00
_cell_angle_beta 90.00
_cell_angle_gamma 90.00
loop_
_atom_site_label
_atom_site_fract_x
_atom_site_fract_y
_atom_site_fract_z
Pr1 0.0000 0.0000 0.2500
Pr2 0.0000 0.2837 0.2500
Cd1 0.0000 0.5000 0.0000
Rh1 0.2015 0.1395 0.0000
```

energy of formation: -0.4936 eV/atom
size of the total moment: 0.00 μB/cell
calculated total energy: -131.67 eV for the cell shown

---

A relaxed structure of Pr3CdRh, computed with PBE.

```
data_Pr3CdRh
_space_group_name_H-M_alt 'P 1 21/m 1'
_space_group_IT_number 11
_space_group_name_Hall '-P 2yb'
_cell_length_a 8.7318
_cell_length_b 4.2432
_cell_length_c 8.7478
_cell_angle_alpha 90.00
_cell_angle_beta 110.88
_cell_angle_gamma 90.00
loop_
_atom_site_label
_atom_site_fract_x
_atom_site_fract_y
_atom_site_fract_z
Pr1 0.0549 0.2500 0.2538
Pr2 0.3178 0.7500 0.6054
Pr3 0.3219 0.2500 0.9562
Cd1 0.3533 0.7500 0.2418
Rh1 0.0889 0.2500 0.6171
```

energy of formation: -0.3651 eV/atom
size of the total moment: 0.00 μB/cell
calculated total energy: -48.86 eV for the cell shown
excess energy over the best structure of this formula in the dataset: 0.02 eV/f.u.

---

A relaxed structure of Pr8Cd2Rh, computed with PBE.

```
data_Pr8Cd2Rh
_space_group_name_H-M_alt 'C 1 2/m 1'
_space_group_IT_number 12
_space_group_name_Hall '-C 2y'
_cell_length_a 18.5273
_cell_length_b 5.3843
_cell_length_c 7.0815
_cell_angle_alpha 90.00
_cell_angle_beta 102.15
_cell_angle_gamma 90.00
loop_
_atom_site_label
_atom_site_fract_x
_atom_site_fract_y
_atom_site_fract_z
Pr1 0.0209 0.0000 0.2786
Pr2 0.0902 0.5000 0.9367
Pr3 0.1495 0.5000 0.4570
Pr4 0.2016 0.0000 0.7980
Cd1 0.1914 0.0000 0.2361
Rh1 0.0000 0.5000 0.5000
```

energy of formation: -0.2018 eV/atom
size of the total moment: 0.00 μB/cell
calculated total energy: -99.27 eV for the cell shown